A plane-wave DFT calculation with PBE with a Hubbard U was carried out for TlCoRe2O8 after structural relaxation.

Structure (POSCAR):
```
TlCoRe2O8
1.0
4.7213 -2.9779 0.0000
4.7213 2.9779 0.0000
-0.4276 0.0000 7.9615
Tl Co Re O
1 1 2 8
direct
0.0000 0.0000 0.0000
0.0000 0.0000 0.5000
0.3576 0.3576 0.7190
0.6424 0.6424 0.2810
0.2035 0.2035 0.5854
0.2130 0.7033 0.6820
0.2967 0.7870 0.3180
0.3106 0.3106 0.9296
0.6894 0.6894 0.0704
0.7033 0.2130 0.6820
0.7870 0.2967 0.3180
0.7965 0.7965 0.4146
```

Calculated values
- Electronic total energy: -7.4358 eV/atom
- SG: C2/m, No. 12